DFT (meta-GGA SCAN) results for Zn2CdRh at its PBEsol-relaxed geometry.

Geometry as CIF:
```
data_Zn2CdRh
_cell_length_a 3.960
_cell_length_b 3.960
_cell_length_c 3.745
_cell_angle_alpha 90.00
_cell_angle_beta 90.00
_cell_angle_gamma 90.00
_symmetry_space_group_name_H-M 'P 4/m m m'
_symmetry_Int_Tables_number 123
_symmetry_space_group_name_Hall '-P 4 2'
loop_
_atom_site_label
_atom_site_fract_x
_atom_site_fract_y
_atom_site_fract_z
Zn1 0.000 0.500 0.000
Cd1 0.000 0.000 0.500
Rh1 0.500 0.500 0.500
```

Summary:
VASP energy (Ry per atom): -1.691
Energy of formation from the pure elements (eV/atom): -0.201